Material: LiNbInAs2
Method: DFT, GGA-PBE
State: optimized geometry

Summary:
* formation energy from the elements: 0.089 eV/atom

Cell lengths 5.0586, 5.0586, 5.5381 Å; angles 90.00, 90.00, 90.00 degrees
Space group P4/mmm (No. 123)
Inequivalent atoms, fractional coordinates:
Li 0.0000 0.0000 0.0000 (multiplicity 1)
Nb 0.5000 0.5000 0.5000 (multiplicity 1)
In 0.5000 0.5000 0.0000 (multiplicity 1)
As 0.0000 0.5000 0.5000 (multiplicity 2)



Material: LiIn2AsO6
Method: DFT, GGA-PBE
State: optimized geometry

Summary:
* E_form (uncorrected): -1.54 eV/atom

Cell lengths 5.3090, 5.3090, 14.3059 Å; angles 90.00, 90.00, 120.00 degrees
Space group R3 (No. 146, hexagonal axes)
Inequivalent atoms, fractional coordinates:
Li 0.0000 0.0000 0.0000 (multiplicity 3)
In 0.0000 0.0000 0.2564 (multiplicity 3)
In 0.0000 0.0000 0.7665 (multiplicity 3)
As 0.0000 0.0000 0.4619 (multiplicity 3)
O 0.0218 0.3867 0.1976 (multiplicity 9)
O 0.0622 0.6813 0.0443 (multiplicity 9)



Material: LiInAs2O6
Method: DFT, GGA-PBE
State: optimized geometry

Summary:
* E_form (uncorrected): -1.31 eV/atom

Cell lengths 10.3834, 8.5393, 6.7812 Å; angles 90.00, 114.32, 90.00 degrees
Space group C2/c (No. 15)
Inequivalent atoms, fractional coordinates:
Li 0.0000 0.2105 0.2500 (multiplicity 4)
In 0.0000 0.4099 0.7500 (multiplicity 4)
As 0.2036 0.0750 0.7350 (multiplicity 8)
O 0.1046 0.4014 0.1452 (multiplicity 8)
O 0.1528 0.0358 0.4306 (multiplicity 8)
O 0.1614 0.2726 0.7370 (multiplicity 8)



Material: Li2InAsO6
Method: DFT, GGA-PBE
State: optimized geometry

Summary:
* E_form (uncorrected): -1.37 eV/atom

Cell lengths 9.9824, 8.7741, 7.0119 Å; angles 90.00, 113.88, 90.00 degrees
Space group C2/c (No. 15)
Inequivalent atoms, fractional coordinates:
Li 0.1444 0.0476 0.0551 (multiplicity 8)
In 0.0000 0.2973 0.2500 (multiplicity 4)
As 0.0000 0.3690 0.7500 (multiplicity 4)
O 0.0229 0.2524 0.9568 (multiplicity 8)
O 0.0857 0.0673 0.2965 (multiplicity 8)
O 0.1430 0.4988 0.8099 (multiplicity 8)



Material: LiInAs2Pb
Method: DFT, GGA-PBE
State: optimized geometry

Summary:
* formation energy from the elements: 0.298 eV/atom

Cell lengths 5.1660, 5.1660, 5.4606 Å; angles 90.00, 90.00, 90.00 degrees
Space group P4/mmm (No. 123)
Inequivalent atoms, fractional coordinates:
Li 0.0000 0.0000 0.0000 (multiplicity 1)
In 0.0000 0.0000 0.5000 (multiplicity 1)
As 0.0000 0.5000 0.0000 (multiplicity 2)
Pb 0.5000 0.5000 0.5000 (multiplicity 1)



Material: Li2In2AsPd4
Method: DFT, GGA-PBE
State: optimized geometry

Summary:
* formation energy from the elements: -0.372 eV/atom

Cell lengths 6.2352, 6.2352, 7.9593 Å; angles 90.00, 90.00, 90.00 degrees
Space group I4/mmm (No. 139)
Inequivalent atoms, fractional coordinates:
Li 0.0000 0.0000 0.2039 (multiplicity 4)
In 0.0000 0.5000 0.2500 (multiplicity 4)
As 0.0000 0.0000 0.5000 (multiplicity 2)
Pd 0.2284 0.2284 0.0000 (multiplicity 8)



Material: RbLiInAs2
Method: DFT, GGA-PBE
State: optimized geometry

Summary:
* formation energy from the elements: -0.380 eV/atom

Cell lengths 13.8843, 4.2427, 11.2532 Å; angles 90.00, 120.42, 90.00 degrees
Space group C2/m (No. 12)
Inequivalent atoms, fractional coordinates:
Rb 0.1756 0.0000 0.1351 (multiplicity 4)
Li 0.1468 0.5000 0.4196 (multiplicity 4)
In 0.0314 0.0000 0.6822 (multiplicity 4)
As 0.0367 0.5000 0.8305 (multiplicity 4)
As 0.1627 0.0000 0.5699 (multiplicity 4)



Material: LiInAsS4
Method: DFT, GGA-PBE
State: optimized geometry

Summary:
* E_form (uncorrected): -0.40 eV/atom

Cell lengths 7.5605, 7.7352, 10.4296 Å; angles 90.00, 90.00, 90.00 degrees
Space group Imma (No. 74)
Inequivalent atoms, fractional coordinates:
Li 0.0000 0.0000 0.0000 (multiplicity 4)
In 0.2500 0.2500 0.2500 (multiplicity 4)
As 0.0000 0.2500 0.6246 (multiplicity 4)
S 0.0000 0.0190 0.2383 (multiplicity 8)
S 0.2477 0.2500 0.5093 (multiplicity 8)